# 1
The following is a DFT calculation (SCAN) of Cs2VHO4 at its PBEsol-relaxed geometry.

a b c (Å): 5.3681 13.0755 8.5890
angles (deg): 90.00 90.00 90.00
Space group Cmc2_1 (No. 36)
One atom of each set of equivalent atoms:
Cs 0.0000 0.0539 0.0000 (multiplicity 4)
Cs 0.0000 0.3710 0.1741 (multiplicity 4)
V 0.0000 0.3286 0.7337 (multiplicity 4)
H 0.0000 0.1336 0.3251 (multiplicity 4)
O 0.0000 0.2000 0.7329 (multiplicity 4)
O 0.0000 0.3727 0.5497 (multiplicity 4)
O 0.2264 0.1263 0.3241 (multiplicity 8)

Summary:
Uncorrected energy   -554.79 eV/cell

# 2
The following is a DFT calculation (SCAN) of CsHOs3 at its PBEsol-relaxed geometry.

a b c (Å): 4.9475 4.9475 4.9475
angles (deg): 90.00 90.00 90.00
Space group Pm-3m (No. 221)
One atom of each set of equivalent atoms:
Cs 0.0000 0.0000 0.0000 (multiplicity 1)
H 0.5000 0.5000 0.5000 (multiplicity 1)
Os 0.0000 0.0000 0.5000 (multiplicity 3)

Summary:
Uncorrected energy   -233.07 eV/cell